Compound: Zn5Ni
Source: Alexandria via LeMat-Bulk
Functional: PBE
Structure: relaxed

Calculated values
Energy relative to the elements (eV per atom): 0.1675
Electronic total energy (eV for the cell shown): -11.15

a = 4.8985 Å, b = 4.8985 Å, c = 4.3178 Å
α = 90.00°, β = 90.00°, γ = 120.00°
Positions (direct):
Zn 0.0000 0.5000 0.5000
Zn 0.3333 0.6667 0.0000
Zn 0.5000 0.0000 0.5000
Zn 0.5000 0.5000 0.5000
Zn 0.6667 0.3333 0.0000
Ni 0.0000 0.0000 0.0000